# Fe2WCl | the Alexandria database | PBE | optimized geometry
data_Fe2WCl
_cell_length_a 2.8158
_cell_length_b 4.4051
_cell_length_c 8.7869
_cell_angle_alpha 90.00
_cell_angle_beta 90.00
_cell_angle_gamma 90.00
_symmetry_space_group_name_H-M 'I m m 2'
_symmetry_Int_Tables_number 44
loop_
_symmetry_equiv_pos_as_xyz
'x,y,z'
'-x,-y,z'
'-x,y,z'
'x,-y,z'
'x+1/2,y+1/2,z+1/2'
'-x+1/2,-y+1/2,z+1/2'
'-x+1/2,y+1/2,z+1/2'
'x+1/2,-y+1/2,z+1/2'
loop_
_atom_site_label
_atom_site_type_symbol
_atom_site_fract_x
_atom_site_fract_y
_atom_site_fract_z
Fe1 Fe 0.0000 0.0000 0.0000
Fe2 Fe 0.0000 0.5000 0.2615
W1 W 0.0000 0.5000 0.7945
Cl1 Cl 0.0000 0.0000 0.5309
# Energy relative to the elements, uncorrected (meV/atom): 741
# Uncorrected energy (eV/atom): -7.191
# Distance to the lowest polymorph of the same formula (eV per formula unit): 1.69


# Fe3WCl | the Alexandria database | PBE | optimized geometry
data_Fe3WCl
_cell_length_a 4.5942
_cell_length_b 4.5942
_cell_length_c 4.5942
_cell_angle_alpha 90.00
_cell_angle_beta 90.00
_cell_angle_gamma 90.00
_symmetry_space_group_name_H-M 'P m -3 m'
_symmetry_Int_Tables_number 221
_symmetry_space_group_name_Hall '-P 4 2 3'
loop_
_atom_site_label
_atom_site_type_symbol
_atom_site_fract_x
_atom_site_fract_y
_atom_site_fract_z
Fe1 Fe 0.0000 0.0000 0.5000
W1 W 0.0000 0.0000 0.0000
Cl1 Cl 0.5000 0.5000 0.5000
# Energy relative to the elements, uncorrected (meV/atom): 1627
# Uncorrected energy (eV/atom): -6.411
# Distance to the lowest polymorph of the same formula (eV per formula unit): 1.98


# FeW2Cl | the Alexandria database | PBE | optimized geometry
data_FeW2Cl
_cell_length_a 5.3683
_cell_length_b 5.3683
_cell_length_c 10.6729
_cell_angle_alpha 90.00
_cell_angle_beta 90.00
_cell_angle_gamma 90.00
_symmetry_space_group_name_H-M 'I -4 2 d'
_symmetry_Int_Tables_number 122
_symmetry_space_group_name_Hall 'I -4 2bw'
loop_
_atom_site_label
_atom_site_type_symbol
_atom_site_fract_x
_atom_site_fract_y
_atom_site_fract_z
Fe1 Fe 0.0000 0.0000 0.0000
W1 W 0.2273 0.2500 0.1250
Cl1 Cl 0.0000 0.0000 0.5000
# Energy relative to the elements, uncorrected (meV/atom): 1329
# Uncorrected energy (eV/atom): -7.725
# Distance to the lowest polymorph of the same formula (eV per formula unit): 3.68


# Fe3WCl | the Alexandria database | PBE | optimized geometry
data_Fe3WCl
_cell_length_a 4.0420
_cell_length_b 4.0420
_cell_length_c 4.0420
_cell_angle_alpha 90.00
_cell_angle_beta 90.00
_cell_angle_gamma 90.00
_symmetry_space_group_name_H-M 'P m -3 m'
_symmetry_Int_Tables_number 221
_symmetry_space_group_name_Hall '-P 4 2 3'
loop_
_atom_site_label
_atom_site_type_symbol
_atom_site_fract_x
_atom_site_fract_y
_atom_site_fract_z
Fe1 Fe 0.0000 0.0000 0.5000
W1 W 0.5000 0.5000 0.5000
Cl1 Cl 0.0000 0.0000 0.0000
# Energy relative to the elements, uncorrected (meV/atom): 1230
# Uncorrected energy (eV/atom): -6.807
# Distance to the lowest polymorph of the same formula (eV per formula unit): 0.00


# FeWCl2 | the Alexandria database | PBE | optimized geometry
data_FeWCl2
_cell_length_a 3.0832
_cell_length_b 3.0832
_cell_length_c 6.1647
_cell_angle_alpha 90.00
_cell_angle_beta 90.00
_cell_angle_gamma 90.00
_symmetry_space_group_name_H-M 'P 4/m m m'
_symmetry_Int_Tables_number 123
_symmetry_space_group_name_Hall '-P 4 2'
loop_
_atom_site_label
_atom_site_type_symbol
_atom_site_fract_x
_atom_site_fract_y
_atom_site_fract_z
Fe1 Fe 0.0000 0.0000 0.0000
W1 W 0.0000 0.0000 0.5000
Cl1 Cl 0.5000 0.5000 0.2440
# Energy relative to the elements, uncorrected (meV/atom): 1030
# Uncorrected energy (eV/atom): -5.247
# Distance to the lowest polymorph of the same formula (eV per formula unit): 4.67


# FeW2Cl | the Alexandria database | PBE | optimized geometry
data_FeW2Cl
_cell_length_a 3.1631
_cell_length_b 4.7265
_cell_length_c 8.5276
_cell_angle_alpha 90.00
_cell_angle_beta 90.00
_cell_angle_gamma 90.00
_symmetry_space_group_name_H-M 'C m m 2'
_symmetry_Int_Tables_number 35
loop_
_symmetry_equiv_pos_as_xyz
'x,y,z'
'-x,-y,z'
'-x,y,z'
'x,-y,z'
'x+1/2,y+1/2,z'
'-x+1/2,-y+1/2,z'
'-x+1/2,y+1/2,z'
'x+1/2,-y+1/2,z'
loop_
_atom_site_label
_atom_site_type_symbol
_atom_site_fract_x
_atom_site_fract_y
_atom_site_fract_z
Fe1 Fe 0.0000 0.0000 0.0000
W1 W 0.0000 0.0000 0.5118
W2 W 0.0000 0.5000 0.7588
Cl1 Cl 0.0000 0.5000 0.2201
# Energy relative to the elements, uncorrected (meV/atom): 430
# Uncorrected energy (eV/atom): -8.624
# Distance to the lowest polymorph of the same formula (eV per formula unit): 0.09


# FeWCl2 | the Alexandria database | PBE | optimized geometry
data_FeWCl2
_cell_length_a 2.9626
_cell_length_b 4.3157
_cell_length_c 14.4043
_cell_angle_alpha 90.00
_cell_angle_beta 90.00
_cell_angle_gamma 90.00
_symmetry_space_group_name_H-M 'I m m m'
_symmetry_Int_Tables_number 71
_symmetry_space_group_name_Hall '-I 2 2'
loop_
_atom_site_label
_atom_site_type_symbol
_atom_site_fract_x
_atom_site_fract_y
_atom_site_fract_z
Fe1 Fe 0.0000 0.0000 0.0000
W1 W 0.0000 0.0000 0.5000
Cl1 Cl 0.0000 0.5000 0.1382
# Energy relative to the elements, uncorrected (meV/atom): 189
# Uncorrected energy (eV/atom): -6.089
# Distance to the lowest polymorph of the same formula (eV per formula unit): 1.30


# FeWCl2 | the Alexandria database | PBE | optimized geometry
data_FeWCl2
_cell_length_a 2.8597
_cell_length_b 5.5128
_cell_length_c 9.7725
_cell_angle_alpha 90.00
_cell_angle_beta 90.00
_cell_angle_gamma 90.00
_symmetry_space_group_name_H-M 'C m m m'
_symmetry_Int_Tables_number 65
_symmetry_space_group_name_Hall '-C 2 2'
loop_
_atom_site_label
_atom_site_type_symbol
_atom_site_fract_x
_atom_site_fract_y
_atom_site_fract_z
Fe1 Fe 0.0000 0.0000 0.0000
W1 W 0.0000 0.0000 0.5000
Cl1 Cl 0.0000 0.5000 0.2965
# Energy relative to the elements, uncorrected (meV/atom): 614
# Uncorrected energy (eV/atom): -5.664
# Distance to the lowest polymorph of the same formula (eV per formula unit): 3.00


# Fe2WCl | the Alexandria database | PBE | optimized geometry
data_Fe2WCl
_cell_length_a 2.9885
_cell_length_b 2.9885
_cell_length_c 6.4312
_cell_angle_alpha 90.00
_cell_angle_beta 90.00
_cell_angle_gamma 90.00
_symmetry_space_group_name_H-M 'P 4/m m m'
_symmetry_Int_Tables_number 123
_symmetry_space_group_name_Hall '-P 4 2'
loop_
_atom_site_label
_atom_site_type_symbol
_atom_site_fract_x
_atom_site_fract_y
_atom_site_fract_z
Fe1 Fe 0.0000 0.0000 0.2122
W1 W 0.5000 0.5000 0.0000
Cl1 Cl 0.5000 0.5000 0.5000
# Energy relative to the elements, uncorrected (meV/atom): 476
# Uncorrected energy (eV/atom): -7.456
# Distance to the lowest polymorph of the same formula (eV per formula unit): 0.63


# FeWCl2 | the Alexandria database | PBE | optimized geometry
data_FeWCl2
_cell_length_a 5.7558
_cell_length_b 8.1455
_cell_length_c 2.8603
_cell_angle_alpha 90.00
_cell_angle_beta 92.99
_cell_angle_gamma 90.00
_symmetry_space_group_name_H-M 'C 1 2/m 1'
_symmetry_Int_Tables_number 12
loop_
_symmetry_equiv_pos_as_xyz
'x,y,z'
'-x,-y,-z'
'-x,y,-z'
'x,-y,z'
'x+1/2,y+1/2,z'
'-x+1/2,-y+1/2,-z'
'-x+1/2,y+1/2,-z'
'x+1/2,-y+1/2,z'
loop_
_atom_site_label
_atom_site_type_symbol
_atom_site_fract_x
_atom_site_fract_y
_atom_site_fract_z
Fe1 Fe 0.0000 0.0000 0.0000
W1 W 0.0000 0.5000 0.0000
Cl1 Cl 0.2500 0.2500 0.0000
# Energy relative to the elements, uncorrected (meV/atom): 694
# Uncorrected energy (eV/atom): -5.583
# Distance to the lowest polymorph of the same formula (eV per formula unit): 3.32


# FeW2Cl | the Alexandria database | PBE | optimized geometry
data_FeW2Cl
_cell_length_a 3.7506
_cell_length_b 3.7506
_cell_length_c 4.5101
_cell_angle_alpha 90.00
_cell_angle_beta 90.00
_cell_angle_gamma 90.00
_symmetry_space_group_name_H-M 'P 4/m m m'
_symmetry_Int_Tables_number 123
_symmetry_space_group_name_Hall '-P 4 2'
loop_
_atom_site_label
_atom_site_type_symbol
_atom_site_fract_x
_atom_site_fract_y
_atom_site_fract_z
Fe1 Fe 0.0000 0.0000 0.0000
W1 W 0.0000 0.5000 0.5000
Cl1 Cl 0.5000 0.5000 0.0000
# Energy relative to the elements, uncorrected (meV/atom): 1246
# Uncorrected energy (eV/atom): -7.808
# Distance to the lowest polymorph of the same formula (eV per formula unit): 3.35


# Fe2WCl | the Alexandria database | PBE | optimized geometry
data_Fe2WCl
_cell_length_a 2.7957
_cell_length_b 4.4013
_cell_length_c 4.4807
_cell_angle_alpha 90.00
_cell_angle_beta 90.00
_cell_angle_gamma 90.00
_symmetry_space_group_name_H-M 'P m m m'
_symmetry_Int_Tables_number 47
loop_
_symmetry_equiv_pos_as_xyz
'x,y,z'
'-x,-y,-z'
'-x,-y,z'
'x,y,-z'
'x,-y,-z'
'-x,y,z'
'-x,y,-z'
'x,-y,z'
loop_
_atom_site_label
_atom_site_type_symbol
_atom_site_fract_x
_atom_site_fract_y
_atom_site_fract_z
Fe1 Fe 0.0000 0.0000 0.0000
Fe2 Fe 0.5000 0.5000 0.0000
W1 W 0.0000 0.5000 0.5000
Cl1 Cl 0.5000 0.0000 0.5000
# Energy relative to the elements, uncorrected (meV/atom): 817
# Uncorrected energy (eV/atom): -7.115
# Distance to the lowest polymorph of the same formula (eV per formula unit): 1.99